[1]
The following is a PBE-GGA calculation of a relaxed SrAs2OsPb crystal, from Alexandria.

Calculated values
* energy relative to the elements: 1.630 eV/atom
* V: 177.2 Å³/cell
* E_tot: -3.554 eV per atom
* spin magnetization: 0.71 μB/atom

Unit cell a=5.3357 b=5.3357 c=6.2246 alpha=90.00 beta=90.00 gamma=90.00
Last column: nearest neighbours and their distance in Å.
Space group P4/mmm (No. 123)
Unique sites:
Sr1 0.0000 0.0000 0.0000 [1 per cell]  2 Pb 3.11
As1 0.0000 0.5000 0.5000 [2 per cell]  2 Pb 2.67
Os1 0.5000 0.5000 0.0000 [1 per cell]  4 Sr 3.77, 8 As 4.10
Pb1 0.0000 0.0000 0.5000 [1 per cell]  4 As 2.67

---

[2]
The following is a PBE-GGA calculation of a relaxed ScSe2N2 crystal, from Alexandria.

Calculated values
* raw formation energy: 835 meV per atom
* V: 161.9 Å³/cell
* E above lowest polymorph: 0.322 eV per atom
* E_tot: -5.155 eV per atom
* spin magnetization: 0.00 μB/atom

Unit cell a=4.4373 b=4.4373 c=8.2216 alpha=90.00 beta=90.00 gamma=90.00
Last column: nearest neighbours and their distance in Å.
Space group I4/mmm (No. 139)
Unique sites:
Sc1 0.0000 0.0000 0.0000 [2 per cell]  2 Se 2.55
Se1 0.0000 0.0000 0.3096 [4 per cell]  4 N 2.27
N1 0.0000 0.5000 0.2500 [4 per cell]  4 Se 2.27

---

[3]
The following is a PBE-GGA calculation of a relaxed Ac8PmY2 crystal, from Alexandria.

Calculated values
* energy relative to the elements: 0.360 eV/atom
* V: 1007.5 Å³/cell
* E_tot: -4.235 eV per atom
* spin magnetization: 0.00 μB/atom

Unit cell a=13.4478 b=12.3216 c=6.2409 alpha=90.00 beta=103.03 gamma=90.00
Last column: nearest neighbours and their distance in Å.
Space group C2/m (No. 12)
Unique sites:
Ac1 0.0792 0.0000 0.2927 [4 per cell]  1 Y 3.50, 3 Ac 3.67-3.79
Ac2 0.1104 0.2472 0.8102 [8 per cell]  1 Y 3.48, 1 Ac 3.72, 1 Pm 3.76
Ac3 0.1425 0.5000 0.5060 [4 per cell]  1 Pm 3.30, 2 Y 3.40-3.60, 1 Ac 3.67
Pm1 0.0000 0.5000 0.0000 [2 per cell]  2 Ac 3.30, 2 Y 3.46
Y1 0.2371 0.0000 0.9173 [4 per cell]  5 Ac 3.40-3.60, 1 Pm 3.46

---

[4]
The following is a PBE-GGA calculation of a relaxed Mg3PdAu2 crystal, from Alexandria.

Calculated values
* energy relative to the elements: -0.651 eV/atom
* V: 104.2 Å³/cell
* E_tot: -3.406 eV per atom
* spin magnetization: 0.00 μB/atom

Unit cell a=3.2274 b=3.2274 c=10.0004 alpha=90.00 beta=90.00 gamma=90.00
Last column: nearest neighbours and their distance in Å.
Space group P4/mmm (No. 123)
Unique sites:
Mg1 0.0000 0.0000 0.0000 [1 per cell]  8 Au 2.86
Mg2 0.0000 0.0000 0.3433 [2 per cell]  4 Pd 2.77, 4 Au 2.85
Pd1 0.5000 0.5000 0.5000 [1 per cell]  8 Mg 2.77
Au1 0.5000 0.5000 0.1729 [2 per cell]  8 Mg 2.85-2.86

---

[5]
The following is a PBE-GGA calculation of a relaxed Tb3Si2Pt7 crystal, from Alexandria.

Calculated values
* raw formation energy: -980 meV per atom
* V: 469.5 Å³/cell
* E_tot: -6.565 eV per atom
* spin magnetization: 0.00 μB/atom

Unit cell a=4.1190 b=28.3722 c=4.0177 alpha=90.00 beta=90.00 gamma=90.00
Last column: nearest neighbours and their distance in Å.
Space group Cmmm (No. 65)
Unique sites:
Tb1 0.0000 0.0000 0.0000 [2 per cell]  4 Pt 2.88
Tb2 0.0000 0.2015 0.0000 [4 per cell]  10 Pt 2.89-3.17
Si1 0.0000 0.4173 0.5000 [4 per cell]  5 Pt 2.35-2.41
Pt1 0.0000 0.1268 0.5000 [4 per cell]  2 Si 2.41
Pt2 0.0000 0.2880 0.5000 [4 per cell]  6 Tb 2.89-3.17, 6 Pt 2.98-3.18
Pt3 0.0000 0.3721 0.0000 [4 per cell]  2 Si 2.38
Pt4 0.0000 0.5000 0.5000 [2 per cell]  2 Si 2.35

---

[6]
The following is a PBE-GGA calculation of a relaxed TbHoOs crystal, from Alexandria.

Calculated values
* energy relative to the elements: -0.233 eV/atom
* V: 151.9 Å³/cell
* E above lowest polymorph: 0.000 eV per atom
* E_tot: -7.045 eV per atom
* spin magnetization: 0.00 μB/atom

Unit cell a=3.3930 b=3.3930 c=13.1984 alpha=90.00 beta=90.00 gamma=90.00
Last column: nearest neighbours and their distance in Å.
Space group I4mm (No. 107)
Unique sites:
Tb1 0.0000 0.0000 0.0000 [2 per cell]  4 Os 2.93
Ho1 0.0000 0.0000 0.2508 [2 per cell]  4 Os 2.90
Os1 0.0000 0.0000 0.6268 [2 per cell]  4 Ho 2.90, 4 Tb 2.93